(1)
Entry from the Alexandria database: ZrPd2WAu after structural relaxation (PBE).

Structure (POSCAR):
```
ZrPd2WAu
1.0
4.879 0.000 0.000
0.000 4.879 0.000
0.000 0.000 4.946
Zr Pd W Au
1 2 1 1
Direct
0.000 0.000 0.000
0.000 0.500 0.500
0.500 0.000 0.500
0.500 0.500 0.000
0.000 0.000 0.500
```

Output
space-group type = P4/mmm (123)
density of states at the Fermi level = 1.0574 states/eV per atom

=====

(2)
Entry from the Alexandria database: CsGeAsSe2 after structural relaxation (PBE).

Structure (POSCAR):
```
CsGeAsSe2
1.0
5.357 0.000 0.000
0.000 5.357 0.000
0.000 0.000 5.072
Cs Ge As Se
1 1 1 2
Direct
0.000 0.000 0.000
0.500 0.500 0.500
0.500 0.500 0.000
0.000 0.500 0.500
0.500 0.000 0.500
```

Output
space-group type = P4/mmm (123)
density of states at the Fermi level = 0.9635 states/eV per atom
offset from the most stable computed form = 0.00 kJ/mol of atoms

=====

(3)
Entry from the Alexandria database: Pm5GaPt2 after structural relaxation (PBE).

Structure (POSCAR):
```
Pm5GaPt2
1.0
-3.990 3.990 6.729
3.990 -3.990 6.729
3.990 3.990 -6.729
Pm Ga Pt
10 2 4
Direct
0.000 0.000 0.000
0.020 0.520 0.824
0.196 0.020 0.500
0.304 0.804 0.824
0.480 0.304 0.500
0.500 0.500 0.000
0.520 0.696 0.500
0.696 0.196 0.176
0.804 0.980 0.500
0.980 0.480 0.176
0.250 0.250 0.000
0.750 0.750 0.000
0.133 0.367 0.500
0.367 0.867 0.234
0.633 0.133 0.766
0.867 0.633 0.500
```

Output
space-group type = I4/mcm (140)
density of states at the Fermi level = 0.9781 states/eV per atom

=====

(4)
Entry from the Alexandria database: PrNi2Ir after structural relaxation (PBE).

Structure (POSCAR):
```
PrNi2Ir
1.0
2.734 -3.291 0.000
2.734 3.291 0.000
0.000 0.000 4.282
Pr Ni Ir
1 2 1
Direct
0.000 0.000 0.000
0.319 0.681 0.500
0.681 0.319 0.500
0.500 0.500 0.000
```

Output
space-group type = Cmmm (65)
density of states at the Fermi level = 1.3711 states/eV per atom

=====

(5)
Entry from the Alexandria database: PPtAu after structural relaxation (PBE).

Structure (POSCAR):
```
PPtAu
1.0
0.000 3.050 3.050
3.050 0.000 3.050
3.050 3.050 0.000
P Pt Au
1 1 1
Direct
0.000 0.000 0.000
0.250 0.250 0.250
0.500 0.500 0.500
```

Output
space-group type = F-43m (216)
density of states at the Fermi level = 0.5267 states/eV per atom
offset from the most stable computed form = 35.70 kJ/mol of atoms

=====

(6)
Entry from the Alexandria database: RbCrTe3Pd after structural relaxation (PBE).

Structure (POSCAR):
```
RbCrTe3Pd
1.0
9.286 0.000 0.000
0.000 3.978 0.000
-4.501 0.000 9.626
Rb Cr Te Pd
2 2 6 2
Direct
0.030 0.250 0.274
0.970 0.750 0.726
0.469 0.250 0.162
0.531 0.750 0.838
0.252 0.750 0.125
0.325 0.750 0.569
0.344 0.250 0.872
0.656 0.750 0.128
0.675 0.250 0.431
0.748 0.250 0.875
0.465 0.750 0.387
0.535 0.250 0.613
```

Output
space-group type = P2_1/m (11)
density of states at the Fermi level = 0.7646 states/eV per atom

=====

(7)
Entry from the Alexandria database: AcTbRuO6 after structural relaxation (PBE).

Structure (POSCAR):
```
AcTbRuO6
1.0
5.568 0.000 0.000
-2.784 4.822 0.000
0.000 0.000 5.267
Ac Tb Ru O
1 1 1 6
Direct
0.000 0.000 0.000
0.333 0.667 0.500
0.667 0.333 0.500
0.383 0.042 0.712
0.383 0.341 0.288
0.659 0.042 0.288
0.659 0.617 0.712
0.958 0.341 0.712
0.958 0.617 0.288
```

Output
space-group type = P312 (149)
density of states at the Fermi level = 0.5990 states/eV per atom

=====

(8)
Entry from the Alexandria database: SiSb after structural relaxation (PBE).

Structure (POSCAR):
```
SiSb
1.0
-1.733 1.876 7.180
1.733 -1.876 7.180
1.733 1.876 -7.180
Si Sb
2 2
Direct
0.439 0.189 0.250
0.561 0.811 0.750
0.151 0.401 0.750
0.849 0.599 0.250
```

Output
space-group type = Imma (74)
density of states at the Fermi level = 0.5092 states/eV per atom

=====

(9)
Entry from the Alexandria database: CdIn2Pb2Au7 after structural relaxation (PBE).

Structure (POSCAR):
```
CdIn2Pb2Au7
1.0
2.956 -2.945 0.000
2.956 2.945 0.000
-1.738 0.000 15.651
Cd In Pb Au
1 2 2 7
Direct
0.000 0.000 0.000
0.429 0.429 0.739
0.571 0.571 0.261
0.123 0.123 0.385
0.877 0.877 0.615
0.038 0.540 0.138
0.343 0.343 0.562
0.460 0.962 0.862
0.500 0.500 0.000
0.540 0.038 0.138
0.657 0.657 0.438
0.962 0.460 0.862
```

Output
space-group type = C2/m (12)
density of states at the Fermi level = 0.4256 states/eV per atom

=====

(10)
Entry from the Alexandria database: NbOsSe2 after structural relaxation (PBE).

Structure (POSCAR):
```
NbOsSe2
1.0
-2.900 2.900 5.382
2.900 -2.900 5.382
2.900 2.900 -5.382
Nb Os Se
2 2 4
Direct
0.000 0.000 0.000
0.750 0.250 0.500
0.250 0.750 0.500
0.500 0.500 0.000
0.146 0.625 0.021
0.375 0.396 0.521
0.604 0.125 0.979
0.875 0.854 0.479
```

Output
space-group type = I-42d (122)
density of states at the Fermi level = 1.0175 states/eV per atom
offset from the most stable computed form = 27.02 kJ/mol of atoms

=====

(11)
Entry from the Alexandria database: Tl2ReBr6 after structural relaxation (PBE).

Structure (POSCAR):
```
Tl2ReBr6
1.0
7.571 0.000 0.000
0.000 9.162 0.000
-7.553 0.000 10.842
Tl Re Br
4 2 12
Direct
0.236 0.001 0.236
0.236 0.499 0.736
0.764 0.501 0.264
0.764 0.999 0.764
0.500 0.000 0.000
0.500 0.500 0.500
0.207 0.665 0.335
0.207 0.835 0.835
0.219 0.152 0.000
0.219 0.348 0.500
0.462 0.163 0.834
0.462 0.337 0.334
0.538 0.663 0.666
0.538 0.837 0.166
0.781 0.652 0.500
0.781 0.848 0.000
0.793 0.165 0.165
0.793 0.335 0.665
```

Output
space-group type = P2_1/c (14)
offset from the most stable computed form = 0.50 kJ/mol of atoms

=====

(12)
Entry from the Alexandria database: TbScAs after structural relaxation (PBE).

Structure (POSCAR):
```
TbScAs
1.0
4.539 0.000 0.000
-2.270 3.931 0.000
0.000 0.000 4.044
Tb Sc As
1 1 1
Direct
0.000 0.000 0.000
0.333 0.667 0.501
0.667 0.333 0.384
```

Output
space-group type = P3m1 (156)
density of states at the Fermi level = 1.1634 states/eV per atom

=====

(13)
Entry from the Alexandria database: MnS3I after structural relaxation (PBE).

Structure (POSCAR):
```
MnS3I
1.0
4.513 0.000 0.000
0.000 4.513 0.000
0.000 0.000 4.513
Mn S I
1 3 1
Direct
0.000 0.000 0.000
0.000 0.000 0.500
0.000 0.500 0.000
0.500 0.000 0.000
0.500 0.500 0.500
```

Output
space-group type = Pm-3m (221)
density of states at the Fermi level = 1.6231 states/eV per atom
offset from the most stable computed form = 0.00 kJ/mol of atoms

=====

(14)
Entry from the Alexandria database: Pa3Bi5S12 after structural relaxation (PBE).

Structure (POSCAR):
```
Pa3Bi5S12
1.0
-8.200 8.200 8.200
8.200 -8.200 8.200
8.200 8.200 -8.200
Pa Bi S
12 20 48
Direct
0.125 0.250 0.375
0.125 0.375 0.750
0.250 0.375 0.125
0.250 0.875 0.625
0.375 0.125 0.250
0.375 0.750 0.125
0.625 0.250 0.875
0.625 0.875 0.750
0.750 0.125 0.375
0.750 0.625 0.875
0.875 0.625 0.250
0.875 0.750 0.625
0.000 0.000 0.000
0.000 0.000 0.500
0.000 0.500 0.000
0.000 0.500 0.500
0.125 0.750 0.875
0.125 0.875 0.250
0.250 0.125 0.875
0.250 0.625 0.375
0.375 0.250 0.625
0.375 0.625 0.750
0.500 0.000 0.000
0.500 0.000 0.500
0.500 0.500 0.000
0.500 0.500 0.500
0.625 0.375 0.250
0.625 0.750 0.375
0.750 0.375 0.625
0.750 0.875 0.125
0.875 0.125 0.750
0.875 0.250 0.125
0.060 0.228 0.143
0.060 0.333 0.918
0.082 0.643 0.415
0.082 0.940 0.667
0.085 0.728 0.667
0.085 0.857 0.418
0.143 0.060 0.228
0.143 0.582 0.915
0.167 0.228 0.585
0.167 0.440 0.582
0.228 0.143 0.060
0.228 0.585 0.167
0.272 0.333 0.915
0.272 0.440 0.357
0.333 0.915 0.272
0.333 0.918 0.060
0.357 0.272 0.440
0.357 0.585 0.918
0.415 0.082 0.643
0.415 0.833 0.772
0.418 0.085 0.857
0.418 0.833 0.560
0.440 0.357 0.272
0.440 0.582 0.167
0.560 0.418 0.833
0.560 0.643 0.728
0.582 0.167 0.440
0.582 0.915 0.143
0.585 0.167 0.228
0.585 0.918 0.357
0.643 0.415 0.082
0.643 0.728 0.560
0.667 0.082 0.940
0.667 0.085 0.728
0.728 0.560 0.643
0.728 0.667 0.085
0.772 0.415 0.833
0.772 0.857 0.940
0.833 0.560 0.418
0.833 0.772 0.415
0.857 0.418 0.085
0.857 0.940 0.772
0.915 0.143 0.582
0.915 0.272 0.333
0.918 0.060 0.333
0.918 0.357 0.585
0.940 0.667 0.082
0.940 0.772 0.857
```

Output
space-group type = Ia-3d (230)
density of states at the Fermi level = 1.2596 states/eV per atom

=====

(15)
Entry from the Alexandria database: Li2TcAg after structural relaxation (PBE).

Structure (POSCAR):
```
Li2TcAg
1.0
2.635 0.000 0.000
0.000 2.635 0.000
0.000 0.000 8.526
Li Tc Ag
2 1 1
Direct
0.000 0.000 0.249
0.000 0.000 0.751
0.500 0.500 0.000
0.500 0.500 0.500
```

Output
space-group type = P4/mmm (123)
density of states at the Fermi level = 0.4174 states/eV per atom
offset from the most stable computed form = 0.00 kJ/mol of atoms

=====

(16)
Entry from the Alexandria database: SiHgAu2 after structural relaxation (PBE).

Structure (POSCAR):
```
SiHgAu2
1.0
4.976 0.000 0.000
0.000 4.976 0.000
0.000 0.000 3.070
Si Hg Au
1 1 2
Direct
0.000 0.000 0.000
0.500 0.500 0.000
0.000 0.500 0.500
0.500 0.000 0.500
```

Output
space-group type = P4/mmm (123)
density of states at the Fermi level = 0.3175 states/eV per atom
offset from the most stable computed form = 19.10 kJ/mol of atoms

=====

(17)
Entry from the Alexandria database: Pm2Ho4ErTm after structural relaxation (PBE).

Structure (POSCAR):
```
Pm2Ho4ErTm
1.0
6.780 -6.614 0.000
6.780 6.614 0.000
-3.384 0.000 5.869
Pm Ho Er Tm
4 8 2 2
Direct
0.000 0.000 0.000
0.000 0.000 0.500
0.000 0.500 0.000
0.500 0.000 0.500
0.252 0.256 0.505
0.254 0.746 0.502
0.254 0.746 0.998
0.256 0.252 0.005
0.744 0.748 0.995
0.746 0.254 0.002
0.746 0.254 0.498
0.748 0.744 0.495
0.000 0.500 0.500
0.500 0.000 0.000
0.500 0.500 0.000
0.500 0.500 0.500
```

Output
space-group type = C2/c (15)
density of states at the Fermi level = 2.1570 states/eV per atom

=====

(18)
Entry from the Alexandria database: NaBe8As6 after structural relaxation (PBE).

Structure (POSCAR):
```
NaBe8As6
1.0
4.874 2.814 3.205
-4.874 2.814 3.205
0.000 -5.628 3.205
Na Be As
1 8 6
Direct
0.000 0.000 0.000
0.185 0.480 0.616
0.320 0.320 0.320
0.384 0.815 0.520
0.480 0.616 0.185
0.520 0.384 0.815
0.616 0.185 0.480
0.680 0.680 0.680
0.815 0.520 0.384
0.140 0.582 0.283
0.283 0.140 0.582
0.418 0.717 0.860
0.582 0.283 0.140
0.717 0.860 0.418
0.860 0.418 0.717
```

Output
space-group type = R-3 (148)
density of states at the Fermi level = 0.3882 states/eV per atom

=====

(19)
Entry from the Alexandria database: AcScSnPt2 after structural relaxation (PBE).

Structure (POSCAR):
```
AcScSnPt2
1.0
-2.180 2.180 6.185
2.180 -2.180 6.185
2.180 2.180 -6.185
Ac Sc Sn Pt
1 1 1 2
Direct
0.000 0.000 0.000
0.750 0.250 0.500
0.250 0.750 0.500
0.391 0.391 0.000
0.609 0.609 0.000
```

Output
space-group type = I-4m2 (119)
density of states at the Fermi level = 0.7950 states/eV per atom

=====

(20)
Entry from the Alexandria database: Ba2ZnGa3Pd4 after structural relaxation (PBE).

Structure (POSCAR):
```
Ba2ZnGa3Pd4
1.0
4.561 0.000 0.000
0.000 4.561 0.000
0.000 0.000 10.443
Ba Zn Ga Pd
2 1 3 4
Direct
0.000 0.500 0.247
0.500 0.000 0.753
0.000 0.000 0.500
0.000 0.500 0.882
0.500 0.000 0.118
0.500 0.500 0.500
0.000 0.000 0.000
0.000 0.500 0.626
0.500 0.000 0.374
0.500 0.500 0.000
```

Output
space-group type = P-4m2 (115)
density of states at the Fermi level = 0.4542 states/eV per atom

=====

| no. | ρ (g cm⁻³) | E_tot (eV/atom) | total magnetization (μB per cell) |
| --- | --- | --- | --- |
| 1 | 9.661 | -5.510 | 2.4 |
| 2 | 5.001 | -3.444 | 0.5 |
| 3 | 9.185 | -5.612 | 0.0 |
| 4 | 9.710 | -6.183 | 0.0 |
| 5 | 12.383 | -4.678 | 0.0 |
| 6 | 5.853 | -4.640 | 4.1 |
| 7 | 6.847 | -7.572 | 2.0 |
| 8 | 5.330 | -4.392 | 0.0 |
| 9 | 13.012 | -3.137 | 0.0 |
| 10 | 8.089 | -6.705 | 0.0 |
| 11 | 4.744 | -3.572 | 6.0 |
| 12 | 6.416 | -5.846 | 0.0 |
| 13 | 5.024 | -4.253 | 0.0 |
| 14 | 6.394 | -5.447 | 20.0 |
| 15 | 6.164 | -4.149 | 0.0 |
| 16 | 13.604 | -2.807 | 0.0 |
| 17 | 8.113 | -4.170 | 5.9 |
| 18 | 3.429 | -4.001 | 0.0 |
| 19 | 11.031 | -6.378 | 0.0 |
| 20 | 7.453 | -4.142 | 0.0 |